(1)
Sr2NbO5 after structural relaxation, computed with GGA-PBE.

Calculated values
- M_tot (μB per formula unit) = 1.08
- total DFT energy (no corrections) (eV for the cell shown) = -58.7
- ΔE_f (raw) (meV/atom) = -2564
- crystal system = triclinic

a = 4.698 Å, b = 6.061 Å, c = 6.361 Å
α = 65.64°, β = 68.66°, γ = 68.35°
Element x y z (fractional)
1 Sr 0.000 0.000 0.000
2 Sr 0.429 0.606 0.507
3 Nb 0.172 0.345 0.217
4 O 0.179 0.229 0.567
5 O 0.281 0.592 0.918
6 O 0.416 0.029 0.159
7 O 0.778 0.333 0.223
8 O 0.987 0.631 0.371

=====

(2)
CoTcRu2 after structural relaxation, computed with GGA-PBE.

Calculated values
- M_tot (μB per formula unit) = 2.15
- total DFT energy (no corrections) (eV for the cell shown) = -34.4
- energy of formation (kcal/mol of atoms) = 9.31
- relative energy among the computed polymorphs (meV per atom) = 317
- crystal system = orthorhombic

a = 2.763 Å, b = 4.438 Å, c = 4.474 Å
α = 90.00°, β = 90.00°, γ = 90.00°
Element x y z (fractional)
1 Co 0.000 0.000 0.000
2 Tc 0.500 0.000 0.500
3 Ru 0.000 0.500 0.500
4 Ru 0.500 0.500 0.000

=====

(3)
Li2PtBr after structural relaxation, computed with GGA-PBE.

Calculated values
- M_tot (μB per formula unit) = 0.00
- total DFT energy (no corrections) (eV for the cell shown) = -14.1
- ΔE_f (raw) (meV/atom) = -630
- relative energy among the computed polymorphs (meV per atom) = 1
- crystal system = monoclinic

a = 3.266 Å, b = 3.266 Å, c = 7.575 Å
α = 102.34°, β = 102.34°, γ = 59.85°
Element x y z (fractional)
1 Li 0.244 0.244 0.233
2 Li 0.756 0.756 0.767
3 Pt 0.000 0.000 0.500
4 Br 0.500 0.500 0.000

=====

> Which of these has the lowest M_tot?

Li2PtBr

=====

> What is the total DFT energy (no corrections) in the third record?

-14.1 eV for the cell shown

=====

> The lowest M_tot belongs to which entry?

Li2PtBr